Record 1
LaPrAs2Se2 | PBE | relaxed

POSCAR file:
```
LaPrAs2Se2
1.0
4.065 0.000 0.000
0.000 4.065 0.000
0.000 0.000 9.091
La Pr As Se
1 1 2 2
Direct
0.000 0.000 0.000 La
0.500 0.500 0.442 Pr
0.000 0.500 0.719 As
0.500 0.000 0.719 As
0.000 0.000 0.348 Se
0.500 0.500 0.093 Se
```

Properties
Total DFT energy (no corrections) = -5.809 eV per atom
Mass density = 6.5 g/cm3
Crystal system = tetragonal
SG = No. 99

Record 2
KFeNiSe3 | PBE | relaxed

POSCAR file:
```
KFeNiSe3
1.0
14.877 0.000 0.000
0.000 3.643 0.000
0.000 0.000 9.498
K Fe Ni Se
4 4 4 12
Direct
0.238 0.250 0.049 K
0.262 0.750 0.549 K
0.738 0.250 0.451 K
0.762 0.750 0.951 K
0.015 0.250 0.326 Fe
0.485 0.750 0.826 Fe
0.515 0.250 0.174 Fe
0.985 0.750 0.674 Fe
0.012 0.750 0.098 Ni
0.488 0.250 0.598 Ni
0.512 0.750 0.402 Ni
0.988 0.250 0.902 Ni
0.073 0.250 0.570 Se
0.086 0.750 0.871 Se
0.120 0.750 0.273 Se
0.380 0.250 0.773 Se
0.414 0.250 0.371 Se
0.427 0.750 0.070 Se
0.573 0.250 0.930 Se
0.586 0.750 0.629 Se
0.620 0.750 0.227 Se
0.880 0.250 0.727 Se
0.914 0.250 0.129 Se
0.927 0.750 0.430 Se
```

Properties
Total DFT energy (no corrections) = -4.742 eV per atom
Mass density = 5.0 g/cm3
Crystal system = orthorhombic
SG = No. 62

Record 3
NaSmCdSe3 | PBE | relaxed

POSCAR file:
```
NaSmCdSe3
1.0
12.598 0.000 0.000
0.000 4.238 0.000
0.000 0.000 12.333
Na Sm Cd Se
4 4 4 12
Direct
0.128 0.250 0.006 Na
0.372 0.750 0.506 Na
0.628 0.250 0.494 Na
0.872 0.750 0.994 Na
0.045 0.250 0.670 Sm
0.455 0.750 0.170 Sm
0.545 0.250 0.830 Sm
0.955 0.750 0.330 Sm
0.236 0.250 0.285 Cd
0.264 0.750 0.785 Cd
0.736 0.250 0.215 Cd
0.764 0.750 0.715 Cd
0.060 0.750 0.843 Se
0.083 0.250 0.427 Se
0.225 0.750 0.151 Se
0.275 0.250 0.651 Se
0.417 0.750 0.927 Se
0.440 0.250 0.343 Se
0.560 0.750 0.657 Se
0.583 0.250 0.073 Se
0.725 0.750 0.349 Se
0.775 0.250 0.849 Se
0.917 0.750 0.573 Se
0.940 0.250 0.157 Se
```

Properties
Distance to the lowest polymorph of the same formula = 0.012 eV per atom
Mass density = 5.3 g/cm3
Crystal system = orthorhombic
SG = No. 62